Entry from Alexandria via LeMat-Bulk: a geometry-optimized Pm2TiNiO6 structure (PBE with a Hubbard U).

Properties
For the total moment, the calculation gives 3.99 Bohr magnetons per cell. As for the space group: No. 14. For the total energy, the calculation gives -7.88 eV per atom.

Unit cell a=5.4347 b=5.6787 c=9.4637 alpha=90.00 beta=124.72 gamma=90.00
With the nearest neighbours (Å) after each atom.
Atoms (fractional coordinates):
1 Pm 0.2334 0.0613 0.2488  6 O 2.33-2.58
2 Pm 0.2334 0.4387 0.7488  6 O 2.33-2.58
3 Pm 0.7666 0.5613 0.2512  6 O 2.33-2.58
4 Pm 0.7666 0.9387 0.7512  6 O 2.33-2.58
5 Ti 0.5000 0.0000 0.0000  6 O 1.97-1.99
6 Ti 0.5000 0.5000 0.5000  6 O 1.97-1.99
7 Ni 0.0000 0.0000 0.5000  6 O 2.08-2.11
8 Ni 0.0000 0.5000 0.0000  6 O 2.08-2.11
9 O 0.1585 0.1933 0.9509  1 Ti 1.97, 1 Ni 2.11
10 O 0.1585 0.3067 0.4509  1 Ti 1.97, 1 Ni 2.11
11 O 0.2550 0.7100 0.9466  1 Ti 1.99, 1 Ni 2.10
12 O 0.2550 0.7900 0.4466  1 Ti 1.99, 1 Ni 2.10
13 O 0.3550 0.0312 0.7568  1 Ti 1.97, 1 Ni 2.08
14 O 0.3550 0.4688 0.2568  1 Ti 1.97, 1 Ni 2.08
15 O 0.6450 0.5312 0.7432  1 Ti 1.97, 1 Ni 2.08
16 O 0.6450 0.9688 0.2432  1 Ti 1.97, 1 Ni 2.08
17 O 0.7450 0.2100 0.5534  1 Ti 1.99, 1 Ni 2.10
18 O 0.7450 0.2900 0.0534  1 Ti 1.99, 1 Ni 2.10
19 O 0.8415 0.6933 0.5491  1 Ti 1.97, 1 Ni 2.11
20 O 0.8415 0.8067 0.0491  1 Ti 1.97, 1 Ni 2.11